Entry 1:
Here is a relaxed structure of BaCdW2 from Alexandria via LeMat-Bulk. Energies are from PBE.

Cell lengths 6.3464, 6.3464, 6.3464 Å; angles 149.65, 127.79, 61.60 degrees
Positions (direct):
Ba 0.5157 0.5157 0.0000
W 0.9627 0.9627 0.0000
W 0.8008 0.3008 0.5000
Cd 0.2208 0.7208 0.5000

Computed properties:
Calculated volume = 101 Å³/cell
Total DFT energy (no corrections) = -6.14 eV/atom
Symmetry = Imm2

=====

Entry 2:
Here is a relaxed structure of BaCdW from Alexandria via LeMat-Bulk. Energies are from PBE.

Cell lengths 5.4455, 5.4455, 5.4455 Å; angles 60.00, 60.00, 60.00 degrees
Each line ends with the local moment (μB).
Positions (direct):
Ba 0.7500 0.7500 0.7500  0.10
W 0.5000 0.5000 0.5000  2.93
Cd 0.0000 0.0000 0.0000  -0.01

Computed properties:
Calculated volume = 114 Å³/cell
Total DFT energy (no corrections) = -3.38 eV/atom
Symmetry = F-43m
E above lowest polymorph = 2.81 eV/f.u.

=====

Entry 3:
Here is a relaxed structure of BaY4Cd from Alexandria via LeMat-Bulk. Energies are from PBE.

Cell lengths 6.7087, 6.7087, 6.7087 Å; angles 60.00, 60.00, 60.00 degrees
Positions (direct):
Ba 0.7500 0.7500 0.7500
Y 0.8788 0.3737 0.3737
Y 0.3737 0.3737 0.8788
Y 0.3737 0.8788 0.3737
Y 0.3737 0.3737 0.3737
Cd 0.0000 0.0000 0.0000

Computed properties:
Calculated volume = 213 Å³/cell
Total DFT energy (no corrections) = -4.47 eV/atom
Symmetry = F-43m

=====

Entry 4:
Here is a relaxed structure of BaYCd from Alexandria via LeMat-Bulk. Energies are from PBE.

Cell lengths 3.8782, 3.8782, 8.4832 Å; angles 90.00, 90.00, 120.00 degrees
Positions (direct):
Ba 0.0000 0.0000 0.0219
Cd 0.3333 0.6667 0.3546
Y 0.6667 0.3333 0.6234

Computed properties:
Calculated volume = 110 Å³/cell
Total DFT energy (no corrections) = -3.06 eV/atom
Symmetry = P3m1
E above lowest polymorph = 0.47 eV/f.u.

=====

Entry 5:
Here is a relaxed structure of BaYCd from Alexandria via LeMat-Bulk. Energies are from PBE.

Cell lengths 5.5640, 5.5640, 5.5640 Å; angles 60.00, 60.00, 60.00 degrees
Positions (direct):
Ba 0.5000 0.5000 0.5000
Cd 0.7500 0.7500 0.7500
Y 0.0000 0.0000 0.0000

Computed properties:
Calculated volume = 122 Å³/cell
Total DFT energy (no corrections) = -2.94 eV/atom
Symmetry = F-43m
E above lowest polymorph = 0.84 eV/f.u.

=====

Entry 6:
Here is a relaxed structure of BaYCd from Alexandria via LeMat-Bulk. Energies are from PBE.

Cell lengths 5.4925, 5.4925, 5.4925 Å; angles 60.00, 60.00, 60.00 degrees
Positions (direct):
Ba 0.7500 0.7500 0.7500
Cd 0.0000 0.0000 0.0000
Y 0.5000 0.5000 0.5000

Computed properties:
Calculated volume = 117 Å³/cell
Total DFT energy (no corrections) = -2.49 eV/atom
Symmetry = F-43m
E above lowest polymorph = 2.20 eV/f.u.

=====

Entry 7:
Here is a relaxed structure of BaYCd from Alexandria via LeMat-Bulk. Energies are from PBE.

Cell lengths 5.5137, 5.5137, 4.2260 Å; angles 90.00, 90.00, 120.00 degrees
Positions (direct):
Ba 0.0000 0.0000 0.9999
Cd 0.6667 0.3333 0.5000
Y 0.3333 0.6667 0.5001

Computed properties:
Calculated volume = 111 Å³/cell
Total DFT energy (no corrections) = -3.07 eV/atom
Symmetry = P-6m2
E above lowest polymorph = 0.44 eV/f.u.

=====

Entry 8:
Here is a relaxed structure of BaYCd3 from Alexandria via LeMat-Bulk. Energies are from PBE.

Cell lengths 5.8282, 5.8282, 5.8282 Å; angles 90.00, 90.00, 90.00 degrees
Positions (direct):
Y 0.0000 0.0000 0.0000
Ba 0.5000 0.5000 0.5000
Cd 0.0000 0.5000 0.0000
Cd 0.0000 0.0000 0.5000
Cd 0.5000 0.0000 0.0000

Computed properties:
Calculated volume = 198 Å³/cell
Total DFT energy (no corrections) = -2.07 eV/atom
Symmetry = Pm-3m
E above lowest polymorph = 0.00 eV/f.u.

=====

Entry 9:
Here is a relaxed structure of BaYCd from Alexandria via LeMat-Bulk. Energies are from PBE.

Cell lengths 7.5148, 7.5148, 3.9630 Å; angles 74.71, 74.71, 30.58 degrees
Each line ends with the local moment (μB).
Positions (direct):
Ba 0.9855 0.9855 0.0145  0.02
Cd 0.3097 0.3097 0.6903  0.00
Y 0.7048 0.7048 0.2952  0.10

Computed properties:
Calculated volume = 110 Å³/cell
Total DFT energy (no corrections) = -3.22 eV/atom
Symmetry = I4mm
E above lowest polymorph = 0.00 eV/f.u.

=====

Entry 10:
Here is a relaxed structure of BaYCd17 from Alexandria via LeMat-Bulk. Energies are from PBE.

Cell lengths 7.7635, 7.7635, 7.7635 Å; angles 82.28, 82.28, 82.28 degrees
Positions (direct):
Ba 0.6644 0.6644 0.6644
Y 0.3280 0.3280 0.3280
Cd 0.2945 0.0036 0.7002
Cd 0.7002 0.2945 0.0036
Cd 0.0036 0.7002 0.2945
Cd 0.2945 0.7002 0.0036
Cd 0.0036 0.2945 0.7002
Cd 0.7002 0.0036 0.2945
Cd 0.3491 0.8708 0.3491
Cd 0.3491 0.3491 0.8708
Cd 0.8708 0.3491 0.3491
Cd 0.6241 0.1929 0.6241
Cd 0.6241 0.6241 0.1929
Cd 0.1929 0.6241 0.6241
Cd 0.9830 0.5186 0.9830
Cd 0.9830 0.9830 0.5186
Cd 0.5186 0.9830 0.9830
Cd 0.9092 0.9092 0.9092
Cd 0.1071 0.1071 0.1071

Computed properties:
Calculated volume = 456 Å³/cell
Total DFT energy (no corrections) = -1.41 eV/atom
Symmetry = R3m

=====

Entry 11:
Here is a relaxed structure of Ba2YCd2 from Alexandria via LeMat-Bulk. Energies are from PBE.

Cell lengths 8.2084, 8.2084, 5.7104 Å; angles 90.00, 90.00, 90.00 degrees
Positions (direct):
Y 0.0000 0.0000 0.0000
Y 0.5000 0.5000 0.0000
Ba 0.1783 0.6783 0.5000
Ba 0.6783 0.8217 0.5000
Ba 0.8217 0.3217 0.5000
Ba 0.3217 0.1783 0.5000
Cd 0.3728 0.8728 0.0000
Cd 0.8728 0.6272 0.0000
Cd 0.6272 0.1272 0.0000
Cd 0.1272 0.3728 0.0000

Computed properties:
Calculated volume = 385 Å³/cell
Total DFT energy (no corrections) = -2.54 eV/atom
Symmetry = P4/mbm
E above lowest polymorph = 0.00 eV/f.u.

=====

Entry 12:
Here is a relaxed structure of BaY2Cd9 from Alexandria via LeMat-Bulk. Energies are from PBE.

Cell lengths 6.1017, 6.1017, 10.1885 Å; angles 72.58, 72.58, 60.00 degrees
Positions (direct):
Ba 0.0000 0.0000 0.0000
Y 0.8531 0.8531 0.4407
Y 0.1469 0.1469 0.5593
Cd 0.6639 0.6639 0.0083
Cd 0.3361 0.3361 0.9917
Cd 0.5000 0.5000 0.5000
Cd 0.4078 0.4078 0.2610
Cd 0.9234 0.4078 0.2610
Cd 0.4078 0.9234 0.2610
Cd 0.5922 0.5922 0.7390
Cd 0.5922 0.0766 0.7390
Cd 0.0766 0.5922 0.7390

Computed properties:
Calculated volume = 308 Å³/cell
Total DFT energy (no corrections) = -2.18 eV/atom
Symmetry = R-3m

=====

Q: Among the records above, which one has the lowest total DFT energy (no corrections)?
A: BaCdW2

=====

Q: Which of these has the lowest calculated volume?
A: BaCdW2

=====

Q: Among the records above, which one has the lowest calculated volume?
A: BaCdW2

=====

Q: Which formula does entry 6 have?
A: BaYCd